# 1
This record from Alexandria via LeMat-Bulk describes a relaxed GaHg2H2 crystal. The functional is PBEsol.

Cell: 2.927 7.771 7.771 Å, 90.00 90.00 90.00°
Atoms (fractional coordinates):
1 H 0.500 0.535 0.035
2 H 0.500 0.035 0.465
3 H 0.500 0.465 0.965
4 H 0.500 0.965 0.535
5 Hg 0.000 0.252 0.752
6 Hg 0.000 0.752 0.748
7 Hg 0.000 0.748 0.248
8 Hg 0.000 0.248 0.252
9 Ga 0.000 0.000 0.000
10 Ga 0.000 0.500 0.500

Output
The total DFT energy (no corrections) is -21.04 eV for the cell shown. The total moment comes out at 0.00 μB per cell.

***

# 2
This record from Alexandria via LeMat-Bulk describes a relaxed SrLi2Ag crystal. The functional is PBEsol.

Cell: 3.700 3.700 7.187 Å, 90.00 90.00 90.00°
Atoms (fractional coordinates):
1 Sr 0.000 0.000 0.534
2 Ag 0.500 0.500 0.808
3 Li 0.000 0.000 0.981
4 Li 0.500 0.500 0.178

Output
For the energy relative to the elements, the calculation gives -0.305 eV/f.u. The total moment comes out at 0.00 μB per cell.